# 1
A relaxed structure of Ba2TlGe. Source: the Alexandria database, functional PBE-GGA.

Cell and atoms, written as extended XYZ:
```
4
Lattice="-3.810 1.294 1.980 -2.750 -3.059 1.786 3.218 0.290 11.081" Properties=species:S:1:pos:R:3 pbc="T T T"
Ge -1.670 -0.737 7.423
Ba 1.470 0.006 7.903
Ba -4.811 -1.481 6.944
Tl 0.000 0.000 0.000
```

The total energy comes out at -2.769 eV/atom. Its space group is R-3m. The density of states at the Fermi level comes out at 1.139 states/eV/atom.

# 2
A relaxed structure of Mg2TlInPt. Source: the Alexandria database, functional PBE-GGA.

Cell and atoms, written as extended XYZ:
```
5
Lattice="5.099 0.000 0.000 0.000 5.099 0.000 0.000 0.000 5.155" Properties=species:S:1:pos:R:3 pbc="T T T"
Tl 2.549 2.549 2.578
Pt 0.000 0.000 0.000
Mg 0.000 2.549 0.000
Mg 2.549 0.000 0.000
In 0.000 0.000 2.578
```

The total energy comes out at -3.162 eV/atom. Its space group is P4/mmm. The density of states at the Fermi level comes out at 0.509 states/eV/atom.

# 3
A relaxed structure of Ca5Nd3Se8. Source: the Alexandria database, functional PBE-GGA.

Cell and atoms, written as extended XYZ:
```
16
Lattice="-0.572 8.317 -1.018 -5.245 4.468 4.803 3.109 5.179 5.920" Properties=species:S:1:pos:R:3 pbc="T T T"
Nd 1.268 6.748 2.451
Nd -1.068 4.824 5.361
Nd 1.554 2.590 2.960
Ca -2.622 2.234 2.402
Ca 0.000 0.000 0.000
Ca -0.286 4.159 -0.509
Ca -1.354 8.982 4.852
Ca -2.908 6.393 1.892
Se -1.996 13.480 7.311
Se -1.717 9.317 7.791
Se -0.712 4.485 2.394
Se -0.991 8.647 1.913
Se 0.604 11.229 4.900
Se 0.888 7.098 5.406
Se -3.596 10.866 4.299
Se -3.312 6.736 4.804
```

The total energy comes out at -5.194 eV/atom. Its space group is R-3m. The density of states at the Fermi level comes out at 0.303 states/eV/atom. Its formation energy (no corrections) is -1.93 eV per atom.

# 4
A relaxed structure of KFe4Sb. Source: the Alexandria database, functional PBE-GGA.

Cell and atoms, written as extended XYZ:
```
6
Lattice="4.009 -0.671 3.318 -0.878 -1.821 4.842 1.546 -4.842 1.302" Properties=species:S:1:pos:R:3 pbc="T T T"
Sb 0.000 0.000 0.000
Fe 3.752 -3.088 5.205
Fe 1.757 -2.754 3.553
Fe 1.320 -3.661 5.963
Fe 2.526 -5.164 4.202
K 3.508 -5.500 7.096
```

The total energy comes out at -5.893 eV/atom. Its space group is F-43m. The density of states at the Fermi level comes out at 1.595 states/eV/atom. Its formation energy (no corrections) is 0.62 eV per atom.